[1]
A geometry-optimized Ac2NdIn structure, computed with GGA-PBE.

a = 5.266 Å, b = 5.266 Å, c = 5.163 Å
α = 90.00°, β = 90.00°, γ = 90.00°
Element x y z (fractional)
1 Ac 0.000 0.500 0.000
2 Ac 0.500 0.000 0.000
3 Nd 0.000 0.000 0.500
4 In 0.500 0.500 0.500

## Properties
Symmetry ... No. 123
Formation enthalpy at 0 K ... -18.5 kJ/mol of atoms
Relative energy among the computed polymorphs ... 0 meV/atom

[2]
A geometry-optimized Ac4NdIn4 structure, computed with GGA-PBE.

a = 9.797 Å, b = 9.797 Å, c = 6.511 Å
α = 90.00°, β = 90.00°, γ = 90.00°
Element x y z (fractional)
1 Ac 0.075 0.825 0.126
2 Ac 0.175 0.575 0.626
3 Ac 0.325 0.925 0.626
4 Ac 0.425 0.675 0.126
5 Ac 0.575 0.325 0.874
6 Ac 0.675 0.075 0.374
7 Ac 0.825 0.425 0.374
8 Ac 0.925 0.175 0.874
9 Nd 0.250 0.250 0.750
10 Nd 0.750 0.750 0.250
11 In 0.059 0.157 0.365
12 In 0.157 0.441 0.135
13 In 0.343 0.059 0.135
14 In 0.441 0.343 0.365
15 In 0.559 0.657 0.635
16 In 0.657 0.941 0.865
17 In 0.843 0.559 0.865
18 In 0.941 0.843 0.635

## Properties
Symmetry ... No. 86
Formation enthalpy at 0 K ... -24.0 kJ/mol of atoms

[3]
A geometry-optimized AcNd3In2 structure, computed with GGA-PBE.

a = 3.738 Å, b = 3.738 Å, c = 13.900 Å
α = 90.00°, β = 90.00°, γ = 90.00°
Element x y z (fractional)
1 Ac 0.000 0.000 0.000
2 Nd 0.500 0.500 0.198
3 Nd 0.500 0.500 0.500
4 Nd 0.500 0.500 0.802
5 In 0.000 0.000 0.346
6 In 0.000 0.000 0.654

## Properties
Symmetry ... No. 123
Formation enthalpy at 0 K ... -29.9 kJ/mol of atoms
Relative energy among the computed polymorphs ... 0 meV/atom

[4]
A geometry-optimized AcNd12In3 structure, computed with GGA-PBE.

a = 5.031 Å, b = 5.031 Å, c = 20.576 Å
α = 90.00°, β = 90.00°, γ = 90.00°
Element x y z (fractional)
1 Ac 0.000 0.000 0.000
2 Nd 0.000 0.500 0.136
3 Nd 0.000 0.500 0.379
4 Nd 0.000 0.500 0.621
5 Nd 0.000 0.500 0.864
6 Nd 0.500 0.000 0.136
7 Nd 0.500 0.000 0.379
8 Nd 0.500 0.000 0.621
9 Nd 0.500 0.000 0.864
10 Nd 0.500 0.500 0.000
11 Nd 0.500 0.500 0.259
12 Nd 0.500 0.500 0.500
13 Nd 0.500 0.500 0.741
14 In 0.000 0.000 0.258
15 In 0.000 0.000 0.500
16 In 0.000 0.000 0.742

## Properties
Symmetry ... No. 123
Formation enthalpy at 0 K ... -18.0 kJ/mol of atoms

[5]
A geometry-optimized AcNd3In2 structure, computed with GGA-PBE.

a = 9.050 Å, b = 9.050 Å, c = 9.350 Å
α = 115.49°, β = 115.49°, γ = 35.97°
Element x y z (fractional)
1 Ac 0.128 0.128 0.178
2 Ac 0.872 0.872 0.822
3 Nd 0.063 0.063 0.714
4 Nd 0.303 0.303 0.005
5 Nd 0.382 0.382 0.463
6 Nd 0.618 0.618 0.537
7 Nd 0.697 0.697 0.995
8 Nd 0.937 0.937 0.286
9 In 0.228 0.228 0.601
10 In 0.493 0.493 0.838
11 In 0.507 0.507 0.162
12 In 0.772 0.772 0.399

## Properties
Symmetry ... No. 12
Formation enthalpy at 0 K ... -24.0 kJ/mol of atoms
Relative energy among the computed polymorphs ... 61 meV/atom

[6]
A geometry-optimized AcNd4In2 structure, computed with GGA-PBE.

a = 13.028 Å, b = 13.028 Å, c = 13.028 Å
α = 160.50°, β = 160.50°, γ = 27.72°
Element x y z (fractional)
1 Ac 0.000 0.000 0.000
2 Nd 0.135 0.135 0.000
3 Nd 0.250 0.750 0.500
4 Nd 0.750 0.250 0.500
5 Nd 0.865 0.865 0.000
6 In 0.423 0.423 0.000
7 In 0.577 0.577 0.000

## Properties
Symmetry ... No. 139
Formation enthalpy at 0 K ... 7.3 kJ/mol of atoms

[7]
A geometry-optimized AcNd4In structure, computed with GGA-PBE.

a = 3.791 Å, b = 3.791 Å, c = 14.607 Å
α = 90.00°, β = 90.00°, γ = 90.00°
Element x y z (fractional)
1 Ac 0.000 0.000 0.000
2 Nd 0.000 0.000 0.360
3 Nd 0.000 0.000 0.640
4 Nd 0.500 0.500 0.188
5 Nd 0.500 0.500 0.812
6 In 0.500 0.500 0.500

## Properties
Symmetry ... No. 123
Formation enthalpy at 0 K ... -12.8 kJ/mol of atoms
Relative energy among the computed polymorphs ... 0 meV/atom

[8]
A geometry-optimized Ac4NdIn structure, computed with GGA-PBE.

a = 9.418 Å, b = 9.418 Å, c = 9.418 Å
α = 99.80°, β = 99.80°, γ = 131.27°
Element x y z (fractional)
1 Ac 0.216 0.000 0.216
2 Ac 0.245 0.504 0.259
3 Ac 0.245 0.986 0.741
4 Ac 0.254 0.495 0.759
5 Ac 0.736 0.495 0.241
6 Ac 0.750 0.034 0.284
7 Ac 0.750 0.466 0.716
8 Ac 0.784 0.000 0.784
9 Nd 0.498 0.998 0.500
10 Nd 0.748 0.748 0.000
11 In 0.053 0.553 0.500
12 In 0.303 0.303 0.000

## Properties
Symmetry ... No. 109
Formation enthalpy at 0 K ... 31.6 kJ/mol of atoms
Relative energy among the computed polymorphs ... 441 meV/atom

[9]
A geometry-optimized Ac3NdIn4 structure, computed with GGA-PBE.

a = 4.043 Å, b = 4.043 Å, c = 16.246 Å
α = 90.00°, β = 90.00°, γ = 90.00°
Element x y z (fractional)
1 Ac 0.000 0.000 0.000
2 Ac 0.000 0.000 0.258
3 Ac 0.000 0.000 0.742
4 Nd 0.000 0.000 0.500
5 In 0.500 0.500 0.130
6 In 0.500 0.500 0.390
7 In 0.500 0.500 0.610
8 In 0.500 0.500 0.870

## Properties
Symmetry ... No. 123
Formation enthalpy at 0 K ... -42.3 kJ/mol of atoms

[10]
A geometry-optimized Ac2NdIn structure, computed with GGA-PBE.

a = 3.937 Å, b = 3.937 Å, c = 9.750 Å
α = 90.00°, β = 90.00°, γ = 90.00°
Element x y z (fractional)
1 Ac 0.000 0.000 0.225
2 Ac 0.000 0.000 0.775
3 Nd 0.500 0.500 0.500
4 In 0.500 0.500 0.000

## Properties
Symmetry ... No. 123
Formation enthalpy at 0 K ... -16.2 kJ/mol of atoms
Relative energy among the computed polymorphs ... 24 meV/atom

[11]
A geometry-optimized Ac5NdIn3 structure, computed with GGA-PBE.

a = 10.134 Å, b = 10.134 Å, c = 7.391 Å
α = 90.00°, β = 90.00°, γ = 120.00°
Element x y z (fractional)
1 Ac 0.000 0.326 0.250
2 Ac 0.000 0.674 0.750
3 Ac 0.326 0.000 0.250
4 Ac 0.326 0.326 0.750
5 Ac 0.333 0.667 0.000
6 Ac 0.333 0.667 0.500
7 Ac 0.667 0.333 0.000
8 Ac 0.667 0.333 0.500
9 Ac 0.674 0.000 0.750
10 Ac 0.674 0.674 0.250
11 Nd 0.000 0.000 0.000
12 Nd 0.000 0.000 0.500
13 In 0.000 0.336 0.750
14 In 0.000 0.664 0.250
15 In 0.336 0.000 0.750
16 In 0.336 0.336 0.250
17 In 0.664 0.000 0.250
18 In 0.664 0.664 0.750

## Properties
Symmetry ... No. 193
Formation enthalpy at 0 K ... -25.3 kJ/mol of atoms

[12]
A geometry-optimized AcNd2In structure, computed with GGA-PBE.

a = 5.123 Å, b = 5.123 Å, c = 5.081 Å
α = 90.00°, β = 90.00°, γ = 90.00°
Element x y z (fractional)
1 Ac 0.000 0.000 0.000
2 Nd 0.000 0.500 0.500
3 Nd 0.500 0.000 0.500
4 In 0.500 0.500 0.000

## Properties
Symmetry ... No. 123
Formation enthalpy at 0 K ... -21.6 kJ/mol of atoms
Relative energy among the computed polymorphs ... 3 meV/atom

[13]
A geometry-optimized Ac2NdInO6 structure, computed with GGA-PBE.

a = 6.031 Å, b = 6.239 Å, c = 10.544 Å
α = 90.00°, β = 124.14°, γ = 90.00°
Element x y z (fractional)
1 Ac 0.233 0.051 0.249
2 Ac 0.233 0.449 0.749
3 Ac 0.767 0.551 0.251
4 Ac 0.767 0.949 0.751
5 Nd 0.500 0.000 0.000
6 Nd 0.500 0.500 0.500
7 In 0.000 0.000 0.500
8 In 0.000 0.500 0.000
9 O 0.123 0.206 0.934
10 O 0.123 0.294 0.434
11 O 0.228 0.693 0.936
12 O 0.228 0.807 0.436
13 O 0.362 0.053 0.742
14 O 0.362 0.447 0.242
15 O 0.638 0.553 0.758
16 O 0.638 0.947 0.258
17 O 0.772 0.193 0.564
18 O 0.772 0.307 0.064
19 O 0.877 0.706 0.566
20 O 0.877 0.794 0.066

## Properties
Formation energy without anion corrections ... -278 kJ/mol of atoms
Symmetry ... No. 14

[14]
A geometry-optimized AcNdInPb structure, computed with GGA-PBE.

a = 5.699 Å, b = 5.699 Å, c = 5.699 Å
α = 60.00°, β = 60.00°, γ = 60.00°
Element x y z (fractional)
1 Ac 0.000 0.000 0.000
2 Nd 0.500 0.500 0.500
3 In 0.750 0.750 0.750
4 Pb 0.250 0.250 0.250

## Properties
Symmetry ... No. 216
Formation enthalpy at 0 K ... -41.8 kJ/mol of atoms
Relative energy among the computed polymorphs ... 60 meV/atom

[15]
A geometry-optimized AcNdInPb structure, computed with GGA-PBE.

a = 4.567 Å, b = 6.624 Å, c = 6.624 Å
α = 43.14°, β = 90.00°, γ = 90.00°
Element x y z (fractional)
1 Ac 0.000 0.000 0.000
2 Nd 0.500 0.725 0.725
3 In 0.500 0.442 0.442
4 Pb 0.000 0.275 0.275

## Properties
Symmetry ... No. 38
Formation enthalpy at 0 K ... -47.6 kJ/mol of atoms
Relative energy among the computed polymorphs ... 0 meV/atom

[16]
A geometry-optimized AcNdInPd structure, computed with GGA-PBE.

a = 5.480 Å, b = 5.480 Å, c = 5.480 Å
α = 60.00°, β = 60.00°, γ = 60.00°
Element x y z (fractional)
1 Ac 0.000 0.000 0.000
2 Nd 0.500 0.500 0.500
3 In 0.750 0.750 0.750
4 Pd 0.250 0.250 0.250

## Properties
Symmetry ... No. 216
Formation enthalpy at 0 K ... -46.1 kJ/mol of atoms

[17]
A geometry-optimized AcPmNdIn structure, computed with GGA-PBE.

a = 5.709 Å, b = 5.709 Å, c = 5.709 Å
α = 60.00°, β = 60.00°, γ = 60.00°
Element x y z (fractional)
1 Ac 0.000 0.000 0.000
2 Pm 0.750 0.750 0.750
3 Nd 0.250 0.250 0.250
4 In 0.500 0.500 0.500

## Properties
Symmetry ... No. 216
Formation enthalpy at 0 K ... -8.5 kJ/mol of atoms

[18]
A geometry-optimized AcNdInRh structure, computed with GGA-PBE.

a = 5.406 Å, b = 5.406 Å, c = 5.406 Å
α = 60.00°, β = 60.00°, γ = 60.00°
Element x y z (fractional)
1 Ac 0.000 0.000 0.000
2 Nd 0.500 0.500 0.500
3 In 0.750 0.750 0.750
4 Rh 0.250 0.250 0.250

## Properties
Symmetry ... No. 216
Formation enthalpy at 0 K ... -35.8 kJ/mol of atoms

[19]
A geometry-optimized Ac3Nd3In2Rh structure, computed with GGA-PBE.

a = 9.168 Å, b = 9.168 Å, c = 4.004 Å
α = 90.00°, β = 90.00°, γ = 120.00°
Element x y z (fractional)
1 Ac 0.000 0.755 0.000
2 Ac 0.245 0.245 0.000
3 Ac 0.755 0.000 0.000
4 Nd 0.000 0.404 0.500
5 Nd 0.404 0.000 0.500
6 Nd 0.596 0.596 0.500
7 In 0.333 0.667 0.000
8 In 0.667 0.333 0.000
9 Rh 0.000 0.000 0.500

## Properties
Symmetry ... No. 189
Formation enthalpy at 0 K ... -36.6 kJ/mol of atoms

[20]
A geometry-optimized AcNdInRu structure, computed with GGA-PBE.

a = 5.374 Å, b = 5.374 Å, c = 5.374 Å
α = 60.00°, β = 60.00°, γ = 60.00°
Element x y z (fractional)
1 Ac 0.000 0.000 0.000
2 Nd 0.500 0.500 0.500
3 In 0.750 0.750 0.750
4 Ru 0.250 0.250 0.250

## Properties
Symmetry ... No. 216
Formation enthalpy at 0 K ... -10.3 kJ/mol of atoms